Below is crystalline Pr8Te4P3S at its relaxed geometry, with properties calculated at the GGA-PBE level.

Computed properties:
DOS at the Fermi energy ... 7.31 states/eV/f.u.
E_form (uncorrected) ... -1.620 eV/atom

The structure in CIF format:
```
data_Pr8Te4P3S
_chemical_formula_sum 'Pr8 Te4 P3 S1'
_cell_length_a 8.557
_cell_length_b 8.885
_cell_length_c 8.557
_cell_angle_alpha 118.79
_cell_angle_beta 120.00
_cell_angle_gamma 90.00
_space_group_name_H-M_alt 'P 1'
_space_group_IT_number 1
_space_group_name_Hall 'P 1'
loop_
_atom_site_label
_atom_site_type_symbol
_atom_site_fract_x
_atom_site_fract_y
_atom_site_fract_z
Pr1 Pr 0.239 0.712 0.973
Pr2 Pr 0.239 0.712 0.478
Pr3 Pr 0.262 0.287 0.524
Pr4 Pr 0.734 0.712 0.973
Pr5 Pr 0.266 0.288 0.027
Pr6 Pr 0.738 0.713 0.476
Pr7 Pr 0.761 0.288 0.522
Pr8 Pr 0.761 0.288 0.027
Te1 Te 0.500 0.000 0.000
Te2 Te 0.500 0.000 0.500
Te3 Te 0.000 0.000 0.000
Te4 Te 0.000 0.000 0.500
P1 P 0.500 0.500 0.000
P2 P 0.500 0.500 0.500
P3 P 0.000 0.500 0.500
S1 S 0.000 0.500 0.000
```



Below is crystalline BaY2Os at its relaxed geometry, with properties calculated at the GGA-PBE level.

Computed properties:
E above lowest polymorph ... 228.5 meV per atom
Calculated formation energy ... 73 kJ/mol of formula units
DOS at the Fermi energy ... 3.04 states/eV/f.u.

The structure in CIF format:
```
data_BaY2Os
_chemical_formula_sum 'Ba1 Y2 Os1'
_cell_length_a 6.587
_cell_length_b 6.587
_cell_length_c 6.587
_cell_angle_alpha 146.68
_cell_angle_beta 124.96
_cell_angle_gamma 65.88
_space_group_name_H-M_alt 'P 1'
_space_group_IT_number 1
_space_group_name_Hall 'P 1'
loop_
_atom_site_label
_atom_site_type_symbol
_atom_site_fract_x
_atom_site_fract_y
_atom_site_fract_z
Ba1 Ba 0.250 0.750 0.500
Os1 Os 0.750 0.250 0.500
Y1 Y 0.931 0.931 0.000
Y2 Y 0.569 0.569 0.000
```



Below is crystalline Li2TiPd5 at its relaxed geometry, with properties calculated at the GGA-PBE level.

Computed properties:
E above lowest polymorph ... 59.9 meV per atom
Calculated formation energy ... -349 kJ/mol of formula units
DOS at the Fermi energy ... 2.75 states/eV/f.u.

The structure in CIF format:
```
data_Li2TiPd5
_chemical_formula_sum 'Li4 Ti2 Pd10'
_cell_length_a 6.487
_cell_length_b 6.487
_cell_length_c 7.107
_cell_angle_alpha 117.15
_cell_angle_beta 117.15
_cell_angle_gamma 90.00
_space_group_name_H-M_alt 'P 1'
_space_group_IT_number 1
_space_group_name_Hall 'P 1'
loop_
_atom_site_label
_atom_site_type_symbol
_atom_site_fract_x
_atom_site_fract_y
_atom_site_fract_z
Li1 Li 0.144 0.356 0.000
Li2 Li 0.644 0.144 0.000
Li3 Li 0.356 0.856 0.000
Li4 Li 0.856 0.644 0.000
Ti1 Ti 0.750 0.750 0.500
Ti2 Ti 0.250 0.250 0.500
Pd1 Pd 0.497 0.693 0.691
Pd2 Pd 0.807 0.003 0.309
Pd3 Pd 0.000 0.000 0.000
Pd4 Pd 0.500 0.500 0.000
Pd5 Pd 0.193 0.997 0.691
Pd6 Pd 0.693 0.193 0.691
Pd7 Pd 0.997 0.497 0.691
Pd8 Pd 0.307 0.807 0.309
Pd9 Pd 0.003 0.503 0.309
Pd10 Pd 0.503 0.307 0.309
```



Below is crystalline BaCr2As at its relaxed geometry, with properties calculated at the GGA-PBE level.

Computed properties:
Calculated formation energy ... -37 kJ/mol of formula units
DOS at the Fermi energy ... 2.44 states/eV/f.u.

The structure in CIF format:
```
data_BaCr2As
_chemical_formula_sum 'Ba1 Cr2 As1'
_cell_length_a 4.348
_cell_length_b 4.348
_cell_length_c 6.451
_cell_angle_alpha 70.29
_cell_angle_beta 70.29
_cell_angle_gamma 59.97
_space_group_name_H-M_alt 'P 1'
_space_group_IT_number 1
_space_group_name_Hall 'P 1'
loop_
_atom_site_label
_atom_site_type_symbol
_atom_site_fract_x
_atom_site_fract_y
_atom_site_fract_z
As1 As 0.556 0.556 0.333
Ba1 Ba 0.747 0.747 0.759
Cr1 Cr 0.942 0.942 0.174
Cr2 Cr 0.255 0.255 0.234
```